Compound: Sm2YAlO
Source: the Alexandria database
Functional: PBE
Structure: relaxed

Cell lengths 4.8654, 4.8654, 4.7304 Å; angles 90.00, 90.00, 90.00 degrees
Last column: nearest neighbours and their distance in Å.
Element x y z (fractional)
Sm1 0.0000 0.5000 0.0000  2 O 2.43
Sm2 0.5000 0.0000 0.0000  2 O 2.43
Y1 0.0000 0.0000 0.5000  2 O 2.37
Al1 0.5000 0.5000 0.5000  8 Sm 3.39, 4 Y 3.44
O1 0.0000 0.0000 0.0000  2 Y 2.37, 4 Sm 2.43

Values from the calculation:
VASP energy   -6.270 eV/atom
Mass density   6.4 g/cm³

***

Compound: Sm12YAl4O3
Source: the Alexandria database
Functional: PBE
Structure: relaxed

Cell lengths 8.7026, 8.7026, 8.7026 Å; angles 109.47, 109.47, 109.47 degrees
Last column: nearest neighbours and their distance in Å.
Element x y z (fractional)
Sm1 0.0000 0.2734 0.2734  1 O 2.28
Sm2 0.0000 0.7266 0.7266  1 O 2.28
Sm3 0.2500 0.5000 0.7500  2 O 2.51
Sm4 0.2500 0.7500 0.5000  2 O 2.51
Sm5 0.2734 0.0000 0.2734  1 O 2.28
Sm6 0.2734 0.2734 0.0000  1 O 2.28
Sm7 0.5000 0.2500 0.7500  2 O 2.51
Sm8 0.5000 0.7500 0.2500  2 O 2.51
Sm9 0.7266 0.0000 0.7266  1 O 2.28
Sm10 0.7266 0.7266 0.0000  1 O 2.28
Sm11 0.7500 0.2500 0.5000  2 O 2.51
Sm12 0.7500 0.5000 0.2500  2 O 2.51
Y1 0.0000 0.0000 0.0000  6 Sm 2.75
Al1 0.0000 0.0000 0.5000  12 Sm 3.55-3.56
Al2 0.0000 0.5000 0.0000  12 Sm 3.55-3.56
Al3 0.5000 0.0000 0.0000  12 Sm 3.55-3.56
Al4 0.5000 0.5000 0.5000  12 Sm 3.55-3.56
O1 0.0000 0.5000 0.5000  6 Sm 2.28-2.51
O2 0.5000 0.0000 0.5000  6 Sm 2.28-2.51
O3 0.5000 0.5000 0.0000  6 Sm 2.28-2.51

Values from the calculation:
VASP energy   -5.314 eV/atom
Mass density   6.7 g/cm³

***

Compound: AlSnO3
Source: the Alexandria database
Functional: PBE
Structure: relaxed

Cell lengths 3.9994, 3.9994, 3.9994 Å; angles 90.00, 90.00, 90.00 degrees
Last column: nearest neighbours and their distance in Å.
Element x y z (fractional)
Al1 0.0000 0.0000 0.0000  12 O 2.83
Sn1 0.5000 0.5000 0.5000  6 O 2.00
O1 0.0000 0.5000 0.5000  2 Sn 2.00
O2 0.5000 0.0000 0.5000  2 Sn 2.00
O3 0.5000 0.5000 0.0000  2 Sn 2.00

Values from the calculation:
VASP energy   -5.454 eV/atom
Mass density   5.0 g/cm³

***

Compound: AlSn3O
Source: the Alexandria database
Functional: PBE
Structure: relaxed

Cell lengths 4.8328, 4.8328, 4.8328 Å; angles 90.00, 90.00, 90.00 degrees
Last column: nearest neighbours and their distance in Å.
Element x y z (fractional)
Al1 0.0000 0.0000 0.0000  12 Sn 3.42
Sn1 0.0000 0.5000 0.5000  2 O 2.42
Sn2 0.5000 0.0000 0.5000  2 O 2.42
Sn3 0.5000 0.5000 0.0000  2 O 2.42
O1 0.5000 0.5000 0.5000  6 Sn 2.42

Values from the calculation:
Polymorph energy (0 for the lowest one)   0.000 eV per atom
Mass density   5.9 g/cm³

***

Compound: Al2SnO
Source: the Alexandria database
Functional: PBE
Structure: relaxed

Cell lengths 4.5526, 4.5526, 4.5526 Å; angles 60.00, 60.00, 60.00 degrees
Last column: nearest neighbours and their distance in Å.
Element x y z (fractional)
Al1 0.2500 0.2500 0.2500  4 O 2.79, 4 Sn 2.79
Al2 0.7500 0.7500 0.7500  4 O 2.79, 4 Sn 2.79
Sn1 0.0000 0.0000 0.0000  8 Al 2.79
O1 0.5000 0.5000 0.5000  8 Al 2.79

Values from the calculation:
Polymorph energy (0 for the lowest one)   0.971 eV per atom
Mass density   4.7 g/cm³

***

Compound: AlSn3O
Source: the Alexandria database
Functional: PBE
Structure: relaxed

Cell lengths 5.2244, 5.2244, 5.2244 Å; angles 90.00, 90.00, 90.00 degrees
Last column: nearest neighbours and their distance in Å.
Element x y z (fractional)
Al1 0.0000 0.0000 0.0000  6 Sn 2.61
Sn1 0.0000 0.0000 0.5000  2 Al 2.61
Sn2 0.0000 0.5000 0.0000  2 Al 2.61
Sn3 0.5000 0.0000 0.0000  2 Al 2.61
O1 0.5000 0.5000 0.5000  12 Sn 3.69

Values from the calculation:
Polymorph energy (0 for the lowest one)   0.880 eV per atom
Mass density   4.6 g/cm³

***

Compound: AlSnO3
Source: the Alexandria database
Functional: PBE
Structure: relaxed

Cell lengths 3.4322, 3.4322, 12.4609 Å; angles 90.00, 90.00, 120.00 degrees
Last column: nearest neighbours and their distance in Å.
Element x y z (fractional)
Al1 0.0000 0.0000 0.0000  6 O 2.16
Al2 0.0000 0.0000 0.5000  6 O 2.16
Sn1 0.3333 0.6667 0.2500  3 O 1.98
Sn2 0.6667 0.3333 0.7500  3 O 1.98
O1 0.0000 0.0000 0.2500  3 Sn 1.98
O2 0.0000 0.0000 0.7500  3 Sn 1.98
O3 0.3333 0.6667 0.0686  3 Al 2.16, 1 Sn 2.26
O4 0.3333 0.6667 0.4314  3 Al 2.16, 1 Sn 2.26
O5 0.6667 0.3333 0.5686  3 Al 2.16, 1 Sn 2.26
O6 0.6667 0.3333 0.9314  3 Al 2.16, 1 Sn 2.26

Values from the calculation:
VASP energy   -6.115 eV/atom
Mass density   5.1 g/cm³

***

Compound: AlSnO3
Source: the Alexandria database
Functional: PBE
Structure: relaxed

Cell lengths 5.7669, 5.7669, 12.3437 Å; angles 90.00, 90.00, 120.00 degrees
Last column: nearest neighbours and their distance in Å.
Element x y z (fractional)
Al1 0.0000 0.0000 0.0000  4 O 1.81-1.83
Al2 0.0000 0.0000 0.5000  4 O 1.81-1.83
Al3 0.3333 0.6667 0.0386  3 O 1.90
Al4 0.3333 0.6667 0.5386  3 O 1.90
Al5 0.6667 0.3333 0.0386  3 O 1.90
Al6 0.6667 0.3333 0.5386  3 O 1.90
Sn1 0.0000 0.3003 0.2654  5 O 2.06-2.30
Sn2 0.0000 0.6997 0.7654  5 O 2.06-2.30
Sn3 0.3003 0.0000 0.2654  5 O 2.06-2.30
Sn4 0.3003 0.3003 0.7654  5 O 2.06-2.30
Sn5 0.6997 0.0000 0.7654  5 O 2.06-2.30
Sn6 0.6997 0.6997 0.2654  5 O 2.06-2.30
O1 0.0000 0.0000 0.1464  1 Al 1.81
O2 0.0000 0.0000 0.6464  1 Al 1.81
O3 0.0000 0.2994 0.4515  1 Al 1.83
O4 0.0000 0.4550 0.1096  2 Al 1.90, 1 Sn 2.12
O5 0.0000 0.5450 0.6096  2 Al 1.90, 1 Sn 2.12
O6 0.0000 0.7006 0.9515  1 Al 1.83
O7 0.2994 0.0000 0.4515  1 Al 1.83
O8 0.2994 0.2994 0.9515  1 Al 1.83
O9 0.3333 0.6667 0.2958  3 Sn 2.06
O10 0.3333 0.6667 0.7958  3 Sn 2.06
O11 0.4550 0.0000 0.1096  2 Al 1.90, 1 Sn 2.12
O12 0.4550 0.4550 0.6096  2 Al 1.90, 1 Sn 2.12
O13 0.5450 0.0000 0.6096  2 Al 1.90, 1 Sn 2.12
O14 0.5450 0.5450 0.1096  2 Al 1.90, 1 Sn 2.12
O15 0.6667 0.3333 0.2958  3 Sn 2.06
O16 0.6667 0.3333 0.7958  3 Sn 2.06
O17 0.7006 0.0000 0.9515  1 Al 1.83
O18 0.7006 0.7006 0.4515  1 Al 1.83

Values from the calculation:
VASP energy   -6.348 eV/atom
Mass density   5.4 g/cm³

***

Compound: AlSnO3
Source: the Alexandria database
Functional: PBE
Structure: relaxed

Cell lengths 5.2923, 5.2066, 10.2605 Å; angles 90.00, 114.98, 90.00 degrees
Last column: nearest neighbours and their distance in Å.
Element x y z (fractional)
Al1 0.1938 0.0307 0.2453  4 O 1.74-1.84
Al2 0.1938 0.4693 0.7453  4 O 1.74-1.84
Al3 0.8062 0.5307 0.2547  4 O 1.74-1.84
Al4 0.8062 0.9693 0.7547  4 O 1.74-1.84
Sn1 0.0000 0.0000 0.5000  2 O 2.36
Sn2 0.0000 0.5000 0.0000  2 O 2.36
Sn3 0.5000 0.0000 0.0000  4 O 2.00-2.03
Sn4 0.5000 0.5000 0.5000  4 O 2.00-2.03
O1 0.1332 0.7046 0.2937  2 Al 1.83-1.84
O2 0.1332 0.7954 0.7937  2 Al 1.83-1.84
O3 0.2447 0.1129 0.0909  1 Al 1.77
O4 0.2447 0.3871 0.5909  1 Al 1.77
O5 0.4622 0.1709 0.3932  1 Al 1.74
O6 0.4622 0.3291 0.8932  1 Al 1.74
O7 0.5378 0.6709 0.1068  1 Al 1.74
O8 0.5378 0.8291 0.6068  1 Al 1.74
O9 0.7553 0.6129 0.4091  1 Al 1.77
O10 0.7553 0.8871 0.9091  1 Al 1.77
O11 0.8668 0.2046 0.2063  2 Al 1.83-1.84
O12 0.8668 0.2954 0.7063  2 Al 1.83-1.84

Values from the calculation:
VASP energy   -6.544 eV/atom
Mass density   5.0 g/cm³

***

Compound: AlSnO3
Source: the Alexandria database
Functional: PBE
Structure: relaxed

Cell lengths 3.7078, 3.7078, 3.7078 Å; angles 90.00, 90.00, 90.00 degrees
Last column: nearest neighbours and their distance in Å.
Element x y z (fractional)
Al1 0.0000 0.0000 0.0000  6 O 1.85
Sn1 0.5000 0.5000 0.5000  12 O 2.62
O1 0.0000 0.0000 0.5000  2 Al 1.85
O2 0.0000 0.5000 0.0000  2 Al 1.85
O3 0.5000 0.0000 0.0000  2 Al 1.85

Values from the calculation:
VASP energy   -6.338 eV/atom
Mass density   6.3 g/cm³

***

Compound: Al2SnO5
Source: the Alexandria database
Functional: PBE
Structure: relaxed

Cell lengths 5.1838, 5.1838, 10.1854 Å; angles 90.00, 90.00, 138.56 degrees
Last column: nearest neighbours and their distance in Å.
Element x y z (fractional)
Al1 0.1363 0.8637 0.5526  4 O 1.83-1.91
Al2 0.1363 0.8637 0.9474  4 O 1.83-1.91
Al3 0.8637 0.1363 0.0526  4 O 1.83-1.91
Al4 0.8637 0.1363 0.4474  4 O 1.83-1.91
Sn1 0.1850 0.8150 0.2500  4 O 1.99-2.04
Sn2 0.8150 0.1850 0.7500  4 O 1.99-2.04
O1 0.0431 0.9569 0.1088  2 Al 1.83-1.88, 1 Sn 1.99
O2 0.0431 0.9569 0.3912  2 Al 1.83-1.88, 1 Sn 1.99
O3 0.2219 0.7781 0.7500  2 Sn 2.04, 2 Al 2.18
O4 0.3095 0.6905 0.0657  3 Al 1.91-2.07
O5 0.3095 0.6905 0.4343  3 Al 1.91-2.07
O6 0.6905 0.3095 0.5657  3 Al 1.91-2.07
O7 0.6905 0.3095 0.9343  3 Al 1.91-2.07
O8 0.7781 0.2219 0.2500  2 Sn 2.04, 2 Al 2.18
O9 0.9569 0.0431 0.6088  2 Al 1.83-1.88, 1 Sn 1.99
O10 0.9569 0.0431 0.8912  2 Al 1.83-1.88, 1 Sn 1.99

Values from the calculation:
VASP energy   -6.959 eV/atom
Mass density   4.6 g/cm³

***

Compound: Al2SnO
Source: the Alexandria database
Functional: PBE
Structure: relaxed

Cell lengths 6.6528, 6.6528, 6.6528 Å; angles 135.36, 135.36, 64.96 degrees
Last column: nearest neighbours and their distance in Å.
Element x y z (fractional)
Al1 0.3750 0.2278 0.3528  2 O 1.96
Al2 0.7722 0.1250 0.1472  2 O 1.96
Al3 0.8750 0.0222 0.6472  2 O 1.96
Al4 0.9778 0.6250 0.8528  2 O 1.96
Sn1 0.2500 0.7500 0.5000  4 Al 2.76
Sn2 0.5000 0.5000 0.0000  4 Al 2.76
O1 0.0000 0.0000 0.0000  4 Al 1.96
O2 0.7500 0.2500 0.5000  4 Al 1.96

Values from the calculation:
Polymorph energy (0 for the lowest one)   0.000 eV per atom
Mass density   4.4 g/cm³